## Na2IrOsO6 (GGA-PBE)

Data for Na2IrOsO6 after structural relaxation.

Computed properties:
Formation energy (no corrections) (eV per atom): -1.03
Fermi-level density of states (states/eV/f.u.): 6.2

a b c (Å): 3.896 5.498 5.498
angles (deg): 90.00 90.00 90.00
Atoms (fractional coordinates):
Na 0.144 0.500 0.000
Na 0.144 0.000 0.500
Ir 0.645 0.500 0.500
Os 0.645 0.000 0.000
O 0.645 0.246 0.246
O 0.645 0.246 0.754
O 0.145 0.500 0.500
O 0.145 0.000 0.000
O 0.645 0.754 0.754
O 0.645 0.754 0.246

## NiHN3 (GGA-PBE)

Data for NiHN3 after structural relaxation.

Computed properties:
Fermi-level density of states (states/eV/f.u.): 5.1
Electronic total energy (eV for the cell shown): -21.66

a b c (Å): 3.630 3.630 3.630
angles (deg): 90.00 90.00 90.00
Atoms (fractional coordinates):
Ni 0.000 0.000 0.000
H 0.500 0.500 0.500
N 0.000 0.500 0.000
N 0.000 0.000 0.500
N 0.500 0.000 0.000

## Np2TlF8 (GGA-PBE)

Data for Np2TlF8 after structural relaxation.

Computed properties:
Formation energy (no corrections) (eV per atom): -3.23
Fermi-level density of states (states/eV/f.u.): 12.2

a b c (Å): 4.513 6.666 6.666
angles (deg): 114.29 94.50 94.50
Atoms (fractional coordinates):
Np 0.000 0.325 0.675
Np 0.000 0.675 0.325
Tl 0.500 0.000 0.000
F 0.933 0.960 0.662
F 0.933 0.662 0.960
F 0.257 0.599 0.599
F 0.500 0.725 0.275
F 0.500 0.275 0.725
F 0.743 0.401 0.401
F 0.067 0.338 0.040
F 0.067 0.040 0.338

## In3Sn3Hg2 (GGA-PBE)

Data for In3Sn3Hg2 after structural relaxation.

Computed properties:
Fermi-level density of states (states/eV/f.u.): 3.3
Electronic total energy (eV for the cell shown): -20.52

a b c (Å): 3.344 8.707 8.707
angles (deg): 120.00 90.00 90.00
Atoms (fractional coordinates):
In 0.500 0.613 0.000
In 0.500 0.000 0.613
In 0.500 0.387 0.387
Sn 0.000 0.209 0.000
Sn 0.000 0.000 0.209
Sn 0.000 0.791 0.791
Hg 0.000 0.333 0.667
Hg 0.000 0.667 0.333